An optimized crystal structure of CuCN2F. Source: Alexandria via LeMat-Bulk, functional PBE.

**Density**: 3.838 g/cm3
**Relative energy among the computed polymorphs**: 0.0 meV per atom
**ΔE_f (raw)**: 1.2872 eV/atom

a = 2.952 Å, b = 2.952 Å, c = 6.086 Å
α = 90.00°, β = 90.00°, γ = 90.00°
Fractional coordinates of all 5 atoms:
Cu  0.000  0.000  0.000
C  0.500  0.500  0.500
N  0.000  0.500  0.500
N  0.500  0.000  0.500
F  0.500  0.500  0.000